[1]
5
Lattice="4.760 0.000 0.000 0.000 4.760 0.000 0.000 0.000 4.760" Properties=species:S:1:pos:R:3 comment="CoMoPd3 PBE relaxed" mass_density_g_cm3=7.301 dft_energy_ev_per_cell=-26.1 magmom_total_mub_per_atom=0.416 dos_ef_per_ev_fu=5.35 pbc="T T T"
Co 0.000 0.000 0.000
Mo 2.380 2.380 2.380
Pd 0.000 2.380 2.380
Pd 2.380 0.000 2.380
Pd 2.380 2.380 0.000



[2]
4
Lattice="3.819 0.000 0.000 0.000 3.819 0.000 0.000 0.000 3.521" Properties=species:S:1:pos:R:3 comment="Co2MoPd PBE relaxed" mass_density_g_cm3=10.353 dft_energy_ev_per_cell=-29.8 magmom_total_mub_per_atom=0.001 dos_ef_per_ev_fu=3.76 pbc="T T T"
Co 0.000 1.910 0.000
Co 1.910 0.000 0.000
Mo 0.000 0.000 1.761
Pd 1.910 1.910 1.761



[3]
5
Lattice="4.359 0.000 0.000 0.000 4.359 0.000 0.000 0.000 4.359" Properties=species:S:1:pos:R:3 comment="Co3MoPd PBE relaxed" mass_density_g_cm3=7.599 dft_energy_ev_per_cell=-30.3 magmom_total_mub_per_atom=0.315 dos_ef_per_ev_fu=8.73 pbc="T T T"
Co 0.000 0.000 2.180
Co 0.000 2.180 0.000
Co 2.180 0.000 0.000
Mo 0.000 0.000 0.000
Pd 2.180 2.180 2.180



[4]
5
Lattice="4.425 0.000 0.000 0.000 4.425 0.000 0.000 0.000 4.425" Properties=species:S:1:pos:R:3 comment="CoMo3Pd PBE relaxed" mass_density_g_cm3=8.686 dft_energy_ev_per_cell=-39.2 magmom_total_mub_per_atom=0.000 dos_ef_per_ev_fu=8.50 pbc="T T T"
Co 0.000 0.000 0.000
Mo 0.000 0.000 2.212
Mo 0.000 2.212 0.000
Mo 2.212 0.000 0.000
Pd 2.212 2.212 2.212



[5]
5
Lattice="4.483 0.000 0.000 0.000 4.483 0.000 0.000 0.000 4.483" Properties=species:S:1:pos:R:3 comment="Co3MoPd PBE relaxed" mass_density_g_cm3=6.986 dft_energy_ev_per_cell=-28.8 magmom_total_mub_per_atom=1.913 dos_ef_per_ev_fu=6.80 pbc="T T T"
Co 0.000 0.000 2.242
Co 0.000 2.242 0.000
Co 2.242 0.000 0.000
Mo 2.242 2.242 2.242
Pd 0.000 0.000 0.000



[6]
4
Lattice="0.000 3.079 3.079 3.079 0.000 3.079 3.079 3.079 0.000" Properties=species:S:1:pos:R:3 comment="CoMoPd2 PBE relaxed" mass_density_g_cm3=10.463 dft_energy_ev_per_cell=-27.1 magmom_total_mub_per_atom=0.196 dos_ef_per_ev_fu=6.30 pbc="T T T"
Co 0.000 0.000 0.000
Mo 3.079 3.079 3.079
Pd 1.539 1.539 1.539
Pd 4.618 4.618 4.618



- What is the formula in the fifth record?
  Co3MoPd